# Nb14VOs PBE optimized geometry
data_Nb14VOs
_chemical_formula_sum 'Nb14 V1 Os1'
_cell_length_a 5.6950
_cell_length_b 5.6950
_cell_length_c 9.2724
_cell_angle_alpha 90.00
_cell_angle_beta 90.00
_cell_angle_gamma 109.51
_space_group_name_H-M_alt 'P 1'
_space_group_IT_number 1
loop_
_space_group_symop_operation_xyz
'x,y,z'
loop_
_atom_site_label
_atom_site_type_symbol
_atom_site_fract_x
_atom_site_fract_y
_atom_site_fract_z
_atom_site_occupancy
Nb1 Nb 0.8750 0.6250 0.2615 1
Nb2 Nb 0.1250 0.3750 0.5000 1
Nb3 Nb 0.6250 0.8750 0.5000 1
Nb4 Nb 0.8738 0.1262 0.2529 1
Nb5 Nb 0.3750 0.1250 0.7385 1
Nb6 Nb 0.6250 0.8750 0.0000 1
Nb7 Nb 0.1250 0.8750 0.0000 1
Nb8 Nb 0.8738 0.1262 0.7471 1
Nb9 Nb 0.3750 0.1250 0.2615 1
Nb10 Nb 0.3762 0.6238 0.2529 1
Nb11 Nb 0.1250 0.3750 0.0000 1
Nb12 Nb 0.6250 0.3750 0.0000 1
Nb13 Nb 0.3762 0.6238 0.7471 1
Nb14 Nb 0.8750 0.6250 0.7385 1
Os1 Os 0.1250 0.8750 0.5000 1
V1 V 0.6250 0.3750 0.5000 1
# - DOS(E_F): 27.6 states/eV per cell
# - Final energy: -10.150 eV/atom
# - Calculated formation energy: -6 kJ/mol of atoms

# Nb3V2Os PBE optimized geometry
data_Nb3V2Os
_chemical_formula_sum 'Nb3 V2 Os1'
_cell_length_a 3.1593
_cell_length_b 4.5094
_cell_length_c 7.0945
_cell_angle_alpha 108.53
_cell_angle_beta 90.00
_cell_angle_gamma 90.00
_space_group_name_H-M_alt 'P 1'
_space_group_IT_number 1
loop_
_space_group_symop_operation_xyz
'x,y,z'
loop_
_atom_site_label
_atom_site_type_symbol
_atom_site_fract_x
_atom_site_fract_y
_atom_site_fract_z
_atom_site_occupancy
Nb1 Nb 0.5000 0.5000 0.0000 1
Nb2 Nb 0.5000 0.8323 0.6647 1
Nb3 Nb 0.5000 0.1677 0.3353 1
V1 V 0.0000 0.6661 0.3322 1
V2 V 0.0000 0.3339 0.6678 1
Os1 Os 0.0000 0.0000 0.0000 1
# - DOS(E_F): 6.2 states/eV per cell
# - Final energy: -10.104 eV/atom
# - Calculated formation energy: -15 kJ/mol of atoms

# Nb2VOs2 PBE optimized geometry
data_Nb2VOs2
_chemical_formula_sum 'Nb4 V2 Os4'
_cell_length_a 7.4230
_cell_length_b 7.4230
_cell_length_c 3.0872
_cell_angle_alpha 90.00
_cell_angle_beta 90.00
_cell_angle_gamma 90.00
_space_group_name_H-M_alt 'P 1'
_space_group_IT_number 1
loop_
_space_group_symop_operation_xyz
'x,y,z'
loop_
_atom_site_label
_atom_site_type_symbol
_atom_site_fract_x
_atom_site_fract_y
_atom_site_fract_z
_atom_site_occupancy
V1 V 0.0000 0.0000 0.0000 1
V2 V 0.5000 0.5000 0.0000 1
Nb1 Nb 0.1645 0.6645 0.5000 1
Nb2 Nb 0.3355 0.1645 0.5000 1
Nb3 Nb 0.8355 0.3355 0.5000 1
Nb4 Nb 0.6645 0.8355 0.5000 1
Os1 Os 0.3635 0.8636 0.0000 1
Os2 Os 0.6364 0.1364 0.0000 1
Os3 Os 0.8636 0.6364 0.0000 1
Os4 Os 0.1364 0.3635 0.0000 1
# - DOS(E_F): 12.5 states/eV per cell
# - Final energy: -10.184 eV/atom
# - Calculated formation energy: 15 kJ/mol of atoms

# NbV4Os2 PBE optimized geometry
data_NbV4Os2
_chemical_formula_sum 'Nb1 V4 Os2'
_cell_length_a 4.4967
_cell_length_b 4.4967
_cell_length_c 7.0251
_cell_angle_alpha 71.33
_cell_angle_beta 71.33
_cell_angle_gamma 90.00
_space_group_name_H-M_alt 'P 1'
_space_group_IT_number 1
loop_
_space_group_symop_operation_xyz
'x,y,z'
loop_
_atom_site_label
_atom_site_type_symbol
_atom_site_fract_x
_atom_site_fract_y
_atom_site_fract_z
_atom_site_occupancy
V1 V 0.2027 0.2027 0.5946 1
V2 V 0.0000 0.5000 0.0000 1
V3 V 0.5000 0.0000 0.0000 1
V4 V 0.7973 0.7973 0.4054 1
Os1 Os 0.6135 0.6135 0.7731 1
Os2 Os 0.3866 0.3866 0.2269 1
Nb1 Nb 0.0000 0.0000 0.0000 1
# - DOS(E_F): 10.1 states/eV per cell
# - Final energy: -8.648 eV/atom
# - Calculated formation energy: 117 kJ/mol of atoms

# Nb6V5Os PBE optimized geometry
data_Nb6V5Os
_chemical_formula_sum 'Nb6 V5 Os1'
_cell_length_a 4.5266
_cell_length_b 6.3493
_cell_length_c 7.7214
_cell_angle_alpha 114.28
_cell_angle_beta 107.04
_cell_angle_gamma 90.00
_space_group_name_H-M_alt 'P 1'
_space_group_IT_number 1
loop_
_space_group_symop_operation_xyz
'x,y,z'
loop_
_atom_site_label
_atom_site_type_symbol
_atom_site_fract_x
_atom_site_fract_y
_atom_site_fract_z
_atom_site_occupancy
Nb1 Nb 0.5000 0.7496 0.0000 1
Nb2 Nb 0.1670 0.4177 0.3339 1
Nb3 Nb 0.1670 0.9162 0.3339 1
Nb4 Nb 0.8330 0.0838 0.6661 1
Nb5 Nb 0.5000 0.2504 0.0000 1
Nb6 Nb 0.8330 0.5823 0.6661 1
V1 V 0.0000 0.5000 0.0000 1
V2 V 0.6679 0.1679 0.3359 1
V3 V 0.3346 0.3346 0.6692 1
V4 V 0.6654 0.6654 0.3308 1
V5 V 0.3321 0.8321 0.6641 1
Os1 Os 0.0000 0.0000 0.0000 1
# - DOS(E_F): 18.0 states/eV per cell
# - Final energy: -9.840 eV/atom
# - Calculated formation energy: -7 kJ/mol of atoms

# NbVOs PBE optimized geometry
data_NbVOs
_chemical_formula_sum 'Nb2 V2 Os2'
_cell_length_a 3.7049
_cell_length_b 3.7049
_cell_length_c 7.0852
_cell_angle_alpha 90.00
_cell_angle_beta 90.00
_cell_angle_gamma 90.00
_space_group_name_H-M_alt 'P 1'
_space_group_IT_number 1
loop_
_space_group_symop_operation_xyz
'x,y,z'
loop_
_atom_site_label
_atom_site_type_symbol
_atom_site_fract_x
_atom_site_fract_y
_atom_site_fract_z
_atom_site_occupancy
Nb1 Nb 0.0000 0.5000 0.1493 1
Nb2 Nb 0.5000 0.0000 0.8507 1
Os1 Os 0.0000 0.5000 0.7700 1
Os2 Os 0.5000 0.0000 0.2300 1
V1 V 0.5000 0.5000 0.5000 1
V2 V 0.0000 0.0000 0.5000 1
# - DOS(E_F): 6.8 states/eV per cell
# - Final energy: -10.088 eV/atom
# - Distance to the lowest polymorph of the same formula: 30.5 kJ per mole of atoms
# - Calculated formation energy: 5 kJ/mol of atoms

# NbV2Os2 PBE optimized geometry
data_NbV2Os2
_chemical_formula_sum 'Nb2 V4 Os4'
_cell_length_a 7.2933
_cell_length_b 7.2933
_cell_length_c 2.8706
_cell_angle_alpha 90.00
_cell_angle_beta 90.00
_cell_angle_gamma 90.00
_space_group_name_H-M_alt 'P 1'
_space_group_IT_number 1
loop_
_space_group_symop_operation_xyz
'x,y,z'
loop_
_atom_site_label
_atom_site_type_symbol
_atom_site_fract_x
_atom_site_fract_y
_atom_site_fract_z
_atom_site_occupancy
Os1 Os 0.1415 0.3585 0.0000 1
Os2 Os 0.3585 0.8585 0.0000 1
Os3 Os 0.8585 0.6415 0.0000 1
Os4 Os 0.6415 0.1415 0.0000 1
V1 V 0.3445 0.1555 0.5000 1
V2 V 0.6555 0.8445 0.5000 1
V3 V 0.1555 0.6555 0.5000 1
V4 V 0.8445 0.3445 0.5000 1
Nb1 Nb 0.0000 0.0000 0.0000 1
Nb2 Nb 0.5000 0.5000 0.0000 1
# - DOS(E_F): 14.0 states/eV per cell
# - Final energy: -10.171 eV/atom
# - Distance to the lowest polymorph of the same formula: 6.3 kJ per mole of atoms
# - Calculated formation energy: -2 kJ/mol of atoms

# Nb8V3Os2 PBE optimized geometry
data_Nb8V3Os2
_chemical_formula_sum 'Nb8 V3 Os2'
_cell_length_a 5.1522
_cell_length_b 7.7419
_cell_length_c 7.0402
_cell_angle_alpha 123.36
_cell_angle_beta 93.07
_cell_angle_gamma 90.00
_space_group_name_H-M_alt 'P 1'
_space_group_IT_number 1
loop_
_space_group_symop_operation_xyz
'x,y,z'
loop_
_atom_site_label
_atom_site_type_symbol
_atom_site_fract_x
_atom_site_fract_y
_atom_site_fract_z
_atom_site_occupancy
V1 V 0.0000 0.8199 0.0000 1
V2 V 0.5000 0.0000 0.0000 1
V3 V 0.0000 0.1801 0.0000 1
Nb1 Nb 0.5724 0.1979 0.7646 1
Nb2 Nb 0.1969 0.8188 0.6377 1
Nb3 Nb 0.9017 0.6049 0.2098 1
Nb4 Nb 0.4276 0.4333 0.2354 1
Nb5 Nb 0.0983 0.3951 0.7902 1
Nb6 Nb 0.8031 0.1812 0.3623 1
Nb7 Nb 0.4276 0.8021 0.2354 1
Nb8 Nb 0.5724 0.5667 0.7646 1
Os1 Os 0.7030 0.8130 0.6260 1
Os2 Os 0.2970 0.1870 0.3740 1
# - DOS(E_F): 16.1 states/eV per cell
# - Final energy: -9.747 eV/atom
# - Calculated formation energy: 27 kJ/mol of atoms